Record 1
The following is a DFT calculation (PBE-GGA) of a geometry-optimized Cs2Tl6PdPt structure.

The formation energy comes out at -0.094 eV per atom.

a b c (Å): 7.9139 7.9139 39.2019
angles (deg): 90.00 90.00 120.00
Last column: nearest neighbours and their distance in Å.
Space group R-3m (No. 166, hexagonal axes)
Unique sites:
Cs 0.0000 0.0000 0.1350 x6  12 Tl 3.85-4.19
Cs 0.0000 0.0000 0.2934 x6  12 Tl 3.96-4.06, 1 Pt 4.39
Tl 0.0117 0.5059 0.1209 x18  1 Pd 2.84, 1 Pt 2.92
Tl 0.0207 0.5104 0.7099 x18  1 Pt 2.68, 1 Pd 2.73
Pd 0.0000 0.0000 0.0000 x3  6 Tl 2.73
Pd 0.0000 0.0000 0.5000 x3  6 Tl 2.84
Pt 0.0000 0.0000 0.4054 x6  6 Tl 2.68-2.92

=====

Record 2
The following is a DFT calculation (PBE-GGA) of a geometry-optimized LiTiTe2 structure.

The calculation puts the uncorrected formation energy at -764 meV/atom.

a b c (Å): 3.9226 3.9226 22.0868
angles (deg): 90.00 90.00 120.00
Last column: nearest neighbours and their distance in Å.
Space group R3m (No. 160, hexagonal axes)
Unique sites:
Li 0.0000 0.0000 0.0000 x3  6 Te 2.96-3.08
Ti 0.0000 0.0000 0.8374 x3  6 Te 2.82
Te 0.0000 0.0000 0.2468 x3  3 Ti 2.82, 3 Li 2.96
Te 0.0000 0.0000 0.4278 x3  3 Ti 2.82, 3 Li 3.08

=====

Record 3
The following is a DFT calculation (PBE-GGA) of a geometry-optimized Sm2TmZr structure.

The formation energy comes out at 0.168 eV per atom.

a b c (Å): 4.0474 4.0474 7.2242
angles (deg): 90.00 90.00 90.00
Last column: nearest neighbours and their distance in Å.
Space group P4/mmm (No. 123)
Unique sites:
Sm 0.0000 0.0000 0.2275 x2  1 Sm 3.29, 4 Zr 3.30, 4 Tm 3.47
Tm 0.5000 0.5000 0.5000 x1  8 Sm 3.47, 2 Zr 3.61
Zr 0.5000 0.5000 0.0000 x1  8 Sm 3.30, 2 Tm 3.61